# NiH8C2O10

A relaxed structure of NiH8C2O10 (GGA-PBEsol, Alexandria via LeMat-Bulk).

a b c (Å): 5.9284 6.1770 11.1626
angles (deg): 90.00 112.73 90.00
Closest atoms and distances in Å follow each position.
Atoms (fractional coordinates):
Ni 0.0000 0.0000 0.0000  6 O 1.86-1.89
Ni 0.0000 0.5000 0.5000  6 O 1.86-1.89
H 0.1675 0.1091 0.8400  1 O 1.03
H 0.1675 0.3909 0.3400  1 O 1.03
H 0.1696 0.1920 0.4459  1 O 1.05
H 0.1696 0.3080 0.9459  1 O 1.05
H 0.2861 0.6926 0.0472  1 O 1.05
H 0.2861 0.8074 0.5472  1 O 1.05
H 0.4271 0.5853 0.6222  1 O 1.02
H 0.4271 0.9147 0.1222  1 O 1.02
H 0.5729 0.0853 0.8778  1 O 1.02
H 0.5729 0.4147 0.3778  1 O 1.02
H 0.7139 0.1926 0.4528  1 O 1.05
H 0.7139 0.3074 0.9528  1 O 1.05
H 0.8304 0.6920 0.0541  1 O 1.05
H 0.8304 0.8080 0.5541  1 O 1.05
H 0.8325 0.6091 0.6600  1 O 1.03
H 0.8325 0.8909 0.1600  1 O 1.03
C 0.2510 0.1298 0.6521  3 O 1.28-1.31
C 0.2510 0.3702 0.1521  3 O 1.28-1.31
C 0.7490 0.6298 0.8479  3 O 1.28-1.31
C 0.7490 0.8702 0.3479  3 O 1.28-1.31
O 0.0657 0.1833 0.8856  2 H 1.03-1.05
O 0.0657 0.3167 0.3856  2 H 1.03-1.05
O 0.1485 0.1805 0.1457  1 C 1.31
O 0.1485 0.3195 0.6457  1 C 1.31
O 0.2766 0.0435 0.5535  1 C 1.28
O 0.2766 0.4565 0.0535  1 C 1.28
O 0.2982 0.6389 0.5366  2 H 1.02-1.05
O 0.2982 0.8611 0.0366  2 H 1.02-1.05
O 0.3210 0.0366 0.7628  1 C 1.28
O 0.3210 0.4634 0.2628  1 C 1.28
O 0.6790 0.5366 0.7372  1 C 1.28
O 0.6790 0.9634 0.2372  1 C 1.28
O 0.7018 0.1389 0.9634  2 H 1.02-1.05
O 0.7018 0.3611 0.4634  2 H 1.02-1.05
O 0.7234 0.5435 0.9465  1 C 1.28
O 0.7234 0.9565 0.4465  1 C 1.28
O 0.8515 0.6805 0.3543  1 C 1.31
O 0.8515 0.8195 0.8543  1 C 1.31
O 0.9343 0.6833 0.6144  2 H 1.03-1.05
O 0.9343 0.8167 0.1144  2 H 1.03-1.05

Values from the calculation:
Uncorrected energy in eV per atom: -6.04
Magnetization in μB per formula unit: 0.00